(1)
# InTc2Ni, optimized geometry, DFT PBE-GGA
data_InTc2Ni
_chemical_formula_sum 'In2 Tc4 Ni2'
_cell_length_a 3.8712
_cell_length_b 4.0848
_cell_length_c 7.6029
_cell_angle_alpha 90.00
_cell_angle_beta 90.00
_cell_angle_gamma 90.00
_space_group_name_H-M_alt 'I m m 2'
_space_group_IT_number 44
_space_group_name_Hall 'I 2 -2'
loop_
_atom_site_label
_atom_site_type_symbol
_atom_site_fract_x
_atom_site_fract_y
_atom_site_fract_z
In1 In 0.0000 0.0000 0.0000
Tc1 Tc 0.0000 0.0000 0.5023
Tc2 Tc 0.0000 0.5000 0.2437
Ni1 Ni 0.0000 0.5000 0.7492
# * energy relative to the elements: 0.2101 eV/atom


(2)
# InTc2Ni, optimized geometry, DFT PBE-GGA
data_InTc2Ni
_chemical_formula_sum 'In1 Tc2 Ni1'
_cell_length_a 3.0226
_cell_length_b 3.0226
_cell_length_c 6.7059
_cell_angle_alpha 90.00
_cell_angle_beta 90.00
_cell_angle_gamma 90.00
_space_group_name_H-M_alt 'P 4/m m m'
_space_group_IT_number 123
_space_group_name_Hall '-P 4 2'
loop_
_atom_site_label
_atom_site_type_symbol
_atom_site_fract_x
_atom_site_fract_y
_atom_site_fract_z
In1 In 0.0000 0.0000 0.0000
Tc1 Tc 0.5000 0.5000 0.3023
Ni1 Ni 0.0000 0.0000 0.5000
# * energy relative to the elements: 0.2780 eV/atom


(3)
# InTc3Ni, optimized geometry, DFT PBE-GGA
data_InTc3Ni
_chemical_formula_sum 'In1 Tc3 Ni1'
_cell_length_a 4.4729
_cell_length_b 4.4729
_cell_length_c 4.4729
_cell_angle_alpha 90.00
_cell_angle_beta 90.00
_cell_angle_gamma 90.00
_space_group_name_H-M_alt 'P m -3 m'
_space_group_IT_number 221
_space_group_name_Hall '-P 4 2 3'
loop_
_atom_site_label
_atom_site_type_symbol
_atom_site_fract_x
_atom_site_fract_y
_atom_site_fract_z
In1 In 0.0000 0.0000 0.0000
Tc1 Tc 0.0000 0.5000 0.5000
Ni1 Ni 0.5000 0.5000 0.5000
# * energy relative to the elements: 1.2663 eV/atom


(4)
# InTc2Ni, optimized geometry, DFT PBE-GGA
data_InTc2Ni
_chemical_formula_sum 'In2 Tc4 Ni2'
_cell_length_a 5.1209
_cell_length_b 8.4085
_cell_length_c 2.8386
_cell_angle_alpha 90.00
_cell_angle_beta 90.00
_cell_angle_gamma 90.00
_space_group_name_H-M_alt 'C m m m'
_space_group_IT_number 65
_space_group_name_Hall '-C 2 2'
loop_
_atom_site_label
_atom_site_type_symbol
_atom_site_fract_x
_atom_site_fract_y
_atom_site_fract_z
In1 In 0.0000 0.0000 0.0000
Tc1 Tc 0.2500 0.2500 0.5000
Ni1 Ni 0.0000 0.5000 0.0000
# * energy relative to the elements: 0.3590 eV/atom


(5)
# InTc3Ni, optimized geometry, DFT PBE-GGA
data_InTc3Ni
_chemical_formula_sum 'In1 Tc3 Ni1'
_cell_length_a 4.7905
_cell_length_b 4.7905
_cell_length_c 4.7905
_cell_angle_alpha 90.00
_cell_angle_beta 90.00
_cell_angle_gamma 90.00
_space_group_name_H-M_alt 'P m -3 m'
_space_group_IT_number 221
_space_group_name_Hall '-P 4 2 3'
loop_
_atom_site_label
_atom_site_type_symbol
_atom_site_fract_x
_atom_site_fract_y
_atom_site_fract_z
In1 In 0.0000 0.0000 0.0000
Tc1 Tc 0.0000 0.0000 0.5000
Ni1 Ni 0.5000 0.5000 0.5000
# * energy relative to the elements: 2.7262 eV/atom


(6)
# InTc2Ni, optimized geometry, DFT PBE-GGA
data_InTc2Ni
_chemical_formula_sum 'In1 Tc2 Ni1'
_cell_length_a 2.7902
_cell_length_b 4.5254
_cell_length_c 4.9451
_cell_angle_alpha 90.00
_cell_angle_beta 101.76
_cell_angle_gamma 90.00
_space_group_name_H-M_alt 'P 1 2/m 1'
_space_group_IT_number 10
_space_group_name_Hall '-P 2y'
loop_
_atom_site_label
_atom_site_type_symbol
_atom_site_fract_x
_atom_site_fract_y
_atom_site_fract_z
In1 In 0.0000 0.0000 0.0000
Tc1 Tc 0.3144 0.5000 0.7365
Ni1 Ni 0.5000 0.0000 0.5000
# * energy relative to the elements: 0.3438 eV/atom


(7)
# InTc2Ni2, optimized geometry, DFT PBE-GGA
data_InTc2Ni2
_chemical_formula_sum 'In2 Tc4 Ni4'
_cell_length_a 6.4658
_cell_length_b 6.4658
_cell_length_c 3.4849
_cell_angle_alpha 90.00
_cell_angle_beta 90.00
_cell_angle_gamma 90.00
_space_group_name_H-M_alt 'P 4/m b m'
_space_group_IT_number 127
_space_group_name_Hall '-P 4 2ab'
loop_
_atom_site_label
_atom_site_type_symbol
_atom_site_fract_x
_atom_site_fract_y
_atom_site_fract_z
In1 In 0.0000 0.0000 0.0000
Tc1 Tc 0.1531 0.3469 0.5000
Ni1 Ni 0.1295 0.6295 0.0000
# * energy relative to the elements: 0.3141 eV/atom


(8)
# InTc2Ni2, optimized geometry, DFT PBE-GGA
data_InTc2Ni2
_chemical_formula_sum 'In2 Tc4 Ni4'
_cell_length_a 7.3421
_cell_length_b 7.3421
_cell_length_c 2.7828
_cell_angle_alpha 90.00
_cell_angle_beta 90.00
_cell_angle_gamma 90.00
_space_group_name_H-M_alt 'P 4/m b m'
_space_group_IT_number 127
_space_group_name_Hall '-P 4 2ab'
loop_
_atom_site_label
_atom_site_type_symbol
_atom_site_fract_x
_atom_site_fract_y
_atom_site_fract_z
In1 In 0.0000 0.0000 0.0000
Tc1 Tc 0.1174 0.3826 0.0000
Ni1 Ni 0.1721 0.6721 0.5000
# * energy relative to the elements: 0.3388 eV/atom


(9)
# InTcNi6, optimized geometry, DFT PBE-GGA
data_InTcNi6
_chemical_formula_sum 'In8 Tc8 Ni48'
_cell_length_a 7.3391
_cell_length_b 10.3952
_cell_length_c 10.4176
_cell_angle_alpha 90.00
_cell_angle_beta 90.00
_cell_angle_gamma 90.00
_space_group_name_H-M_alt 'C m m m'
_space_group_IT_number 65
_space_group_name_Hall '-C 2 2'
loop_
_atom_site_label
_atom_site_type_symbol
_atom_site_fract_x
_atom_site_fract_y
_atom_site_fract_z
In1 In 0.0000 0.0000 0.2481
In2 In 0.0000 0.2464 0.5000
Tc1 Tc 0.0000 0.2482 0.0000
Tc2 Tc 0.0000 0.5000 0.2511
Ni1 Ni 0.0000 0.0000 0.0000
Ni2 Ni 0.0000 0.0000 0.5000
Ni3 Ni 0.0000 0.2559 0.2404
Ni4 Ni 0.0000 0.5000 0.0000
Ni5 Ni 0.0000 0.5000 0.5000
Ni6 Ni 0.2411 0.3777 0.3694
Ni7 Ni 0.2428 0.3723 0.1202
# * energy relative to the elements: 0.0051 eV/atom


(10)
# InTc2Ni, optimized geometry, DFT PBE-GGA
data_InTc2Ni
_chemical_formula_sum 'In1 Tc2 Ni1'
_cell_length_a 3.0446
_cell_length_b 3.0446
_cell_length_c 6.6078
_cell_angle_alpha 90.00
_cell_angle_beta 90.00
_cell_angle_gamma 90.00
_space_group_name_H-M_alt 'P 4 m m'
_space_group_IT_number 99
_space_group_name_Hall 'P 4 -2'
loop_
_atom_site_label
_atom_site_type_symbol
_atom_site_fract_x
_atom_site_fract_y
_atom_site_fract_z
In1 In 0.0000 0.0000 0.0000
Tc1 Tc 0.0000 0.0000 0.4800
Tc2 Tc 0.5000 0.5000 0.6914
Ni1 Ni 0.5000 0.5000 0.2447
# * energy relative to the elements: 0.0984 eV/atom


(11)
# InTc2Ni, optimized geometry, DFT PBE-GGA
data_InTc2Ni
_chemical_formula_sum 'In2 Tc4 Ni2'
_cell_length_a 8.8226
_cell_length_b 3.0360
_cell_length_c 4.7568
_cell_angle_alpha 90.00
_cell_angle_beta 104.47
_cell_angle_gamma 90.00
_space_group_name_H-M_alt 'C 1 m 1'
_space_group_IT_number 8
_space_group_name_Hall 'C -2y'
loop_
_atom_site_label
_atom_site_type_symbol
_atom_site_fract_x
_atom_site_fract_y
_atom_site_fract_z
In1 In 0.0000 0.0000 0.0000
Tc1 Tc 0.0046 0.5000 0.5002
Tc2 Tc 0.2681 0.5000 0.3474
Ni1 Ni 0.2480 0.0000 0.7882
# * energy relative to the elements: 0.1971 eV/atom


(12)
# InTc2Ni, optimized geometry, DFT PBE-GGA
data_InTc2Ni
_chemical_formula_sum 'In4 Tc8 Ni4'
_cell_length_a 6.2389
_cell_length_b 6.2389
_cell_length_c 6.2389
_cell_angle_alpha 90.00
_cell_angle_beta 90.00
_cell_angle_gamma 90.00
_space_group_name_H-M_alt 'F -4 3 m'
_space_group_IT_number 216
_space_group_name_Hall 'F -4 2 3'
loop_
_atom_site_label
_atom_site_type_symbol
_atom_site_fract_x
_atom_site_fract_y
_atom_site_fract_z
In1 In 0.0000 0.0000 0.0000
Tc1 Tc 0.0000 0.0000 0.5000
Tc2 Tc 0.2500 0.2500 0.2500
Ni1 Ni 0.2500 0.2500 0.7500
# * energy relative to the elements: 0.2589 eV/atom


Number 1: uncorrected energy -56.8 eV for the cell shown. Number 2: uncorrected energy -28.1 eV for the cell shown. Number 3: uncorrected energy -33.3 eV for the cell shown. Number 4: uncorrected energy -55.6 eV for the cell shown. Number 5: uncorrected energy -26.0 eV for the cell shown. Number 6: uncorrected energy -27.9 eV for the cell shown. Number 7: uncorrected energy -66.9 eV for the cell shown. Number 8: uncorrected energy -66.7 eV for the cell shown. Number 9: uncorrected energy -382.0 eV for the cell shown. Number 10: uncorrected energy -28.9 eV for the cell shown. Number 11: uncorrected energy -56.9 eV for the cell shown. Number 12: uncorrected energy -112.9 eV for the cell shown.